Entry 1:
! PBE EuAlIn, optimized geometry; values from VASP
! * total magnetic moment: 7.2 μB/f.u.
! * energy of formation: -0.36 eV per atom
&SYSTEM
  ibrav = 0, nat = 3, ntyp = 3
/
ATOMIC_SPECIES
Eu 151.96 Eu.upf
Al 26.98 Al.upf
In 114.82 In.upf
ATOMIC_POSITIONS crystal
Eu 0.000 0.000 0.000
Al 0.333 0.667 0.500
In 0.667 0.333 0.500
CELL_PARAMETERS angstrom
4.875 0.000 0.000
-2.437 4.222 0.000
0.000 0.000 3.720


Entry 2:
! PBE Sc4Ni5, optimized geometry; values from VASP
! * relative energy among the computed polymorphs: 6 meV/atom
! * total magnetic moment: 0.0 μB/f.u.
! * energy of formation: -0.35 eV per atom
&SYSTEM
  ibrav = 0, nat = 9, ntyp = 2
/
ATOMIC_SPECIES
Sc 44.96 Sc.upf
Ni 58.69 Ni.upf
ATOMIC_POSITIONS crystal
Sc 0.000 0.295 0.295
Sc 0.000 0.705 0.705
Sc 0.295 0.000 0.295
Sc 0.705 0.000 0.705
Ni 0.000 0.000 0.000
Ni 0.341 0.341 0.682
Ni 0.341 0.659 0.000
Ni 0.659 0.341 0.000
Ni 0.659 0.659 0.318
CELL_PARAMETERS angstrom
-4.255 4.255 1.931
4.255 -4.255 1.931
4.255 4.255 -1.931